Ba2MnCu3O6: relaxed, PBE with a Hubbard U.

a = 3.827 Å, b = 3.827 Å, c = 12.191 Å
α = 90.00°, β = 90.00°, γ = 90.00°
Element x y z (fractional)
Ba: 0.000 0.000 0.206
Ba: 0.000 0.000 0.794
Mn: 0.000 0.000 0.500
Cu: 0.500 0.500 0.000
Cu: 0.500 0.500 0.382
Cu: 0.500 0.500 0.618
O: 0.000 0.500 0.382
O: 0.000 0.500 0.618
O: 0.500 0.000 0.382
O: 0.500 0.000 0.618
O: 0.500 0.500 0.147
O: 0.500 0.500 0.853

Values from the calculation:
The raw total energy comes out at -0.215 Ha/atom.